Entry from OQMD via LeMat-Bulk: crystalline LuMgAsO at its relaxed geometry (PBE).

a b c (Å): 4.3477 4.3477 9.5162
angles (deg): 90.00 90.00 90.00
Space group P4/nmm (No. 129, origin choice 2)
Inequivalent atoms, fractional coordinates:
Lu: 0.2500 0.7500 0.0000 x2
Mg: 0.2500 0.2500 0.4961 x2
As: 0.2500 0.2500 0.1732 x2
O: 0.2500 0.7500 0.5000 x2

Properties
size of the total moment	0.04	μB per formula unit
energy	-5.134	eV per atom